[1]
Here is crystalline CaBeTc2 at its relaxed geometry from Alexandria. Energies are from PBE.

Geometry as POSCAR:
```
CaBeTc2
1.0
-3.147 -4.243 -0.649
4.112 0.652 -3.315
1.479 -1.337 1.571
Be Ca Tc
1 1 2
direct
0.500 0.000 0.500
0.000 0.500 0.500
0.000 0.000 0.000
0.500 0.500 0.000
```

Computed properties:
Crystal system ... orthorhombic
SG ... Cmmm (65)
DFT formation energy ... 679 meV/atom
Spin magnetization ... 0.0 μB per formula unit
Calculated volume ... 63.1 Å³ per cell
Raw total energy ... -5.936 eV per atom

[2]
Here is crystalline CaBeTc3 at its relaxed geometry from Alexandria. Energies are from PBE.

Geometry as POSCAR:
```
CaBeTc3
1.0
-0.881 -2.012 4.016
4.105 -2.021 -0.112
1.822 3.581 2.193
Be Ca Tc
1 1 3
direct
0.500 0.500 0.500
0.000 0.000 0.000
0.000 0.500 0.000
0.000 0.000 0.500
0.500 0.000 0.000
```

Computed properties:
Crystal system ... cubic
SG ... Pm-3m (221)
DFT formation energy ... 2794 meV/atom
Spin magnetization ... 2.8 μB per formula unit
Calculated volume ... 95.9 Å³ per cell
Raw total energy ... -4.571 eV per atom

[3]
Here is crystalline CaBeTc2 at its relaxed geometry from Alexandria. Energies are from PBE.

Geometry as POSCAR:
```
CaBeTc2
1.0
-3.816 3.743 0.387
2.164 -2.035 4.461
1.491 2.070 0.746
Be Ca Tc
1 1 2
direct
0.500 0.000 0.500
0.000 0.500 0.500
0.000 0.000 0.000
0.500 0.500 0.000
```

Computed properties:
Crystal system ... monoclinic
SG ... C2/m (12)
DFT formation energy ... 623 meV/atom
Spin magnetization ... 0.0 μB per formula unit
Calculated volume ... 62.8 Å³ per cell
Raw total energy ... -5.992 eV per atom

[4]
Here is crystalline Ca2BeTc at its relaxed geometry from Alexandria. Energies are from PBE.

Geometry as POSCAR:
```
Ca2BeTc
1.0
-2.327 -4.063 -2.153
1.877 -4.131 2.444
-2.067 4.298 1.954
Be Ca Tc
1 2 1
direct
0.750 0.250 0.500
0.000 0.000 0.000
0.250 0.750 0.500
0.500 0.500 0.000
```

Computed properties:
Crystal system ... tetragonal
SG ... I-4m2 (119)
DFT formation energy ... 689 meV/atom
Spin magnetization ... 0.5 μB per formula unit
Calculated volume ... 79.7 Å³ per cell
Raw total energy ... -3.835 eV per atom

[5]
Here is crystalline CaBeTc4 at its relaxed geometry from Alexandria. Energies are from PBE.

Geometry as POSCAR:
```
CaBeTc4
1.0
0.000 3.689 3.689
3.689 0.000 3.689
3.689 3.689 0.000
Ca Be Tc
1 1 4
direct
0.000 0.000 0.000
0.750 0.750 0.750
0.873 0.376 0.376
0.376 0.376 0.873
0.376 0.873 0.376
0.376 0.376 0.376
```

Computed properties:
Crystal system ... cubic
SG ... F-43m (216)
DFT formation energy ... 485 meV/atom
Spin magnetization ... 0.0 μB per formula unit
Calculated volume ... 100.4 Å³ per cell
Raw total energy ... -7.381 eV per atom

[6]
Here is crystalline Ca2BeTc at its relaxed geometry from Alexandria. Energies are from PBE.

Geometry as POSCAR:
```
Ca2BeTc
1.0
5.825 -0.003 0.006
4.753 3.368 0.006
2.012 0.640 4.365
Be Ca Tc
1 2 1
direct
0.802 0.802 0.699
0.025 0.025 0.974
0.236 0.236 0.264
0.438 0.438 0.562
```

Computed properties:
Crystal system ... monoclinic
SG ... Cm (8)
DFT formation energy ... 366 meV/atom
Spin magnetization ... 0.4 μB per formula unit
Calculated volume ... 85.7 Å³ per cell
Raw total energy ... -4.158 eV per atom

| no. | D(E_F) (states/eV per cell) |
| --- | --- |
| 1 | 2.30 |
| 2 | 6.28 |
| 3 | 3.39 |
| 4 | 3.85 |
| 5 | 3.33 |
| 6 | 3.48 |